No. 1
A relaxed structure of Na3Sm2Hg4. Source: the Alexandria database, functional PBE-GGA.

Output
- spin magnetization (μB per cell) = 0.0
- electronic total energy (eV per atom) = -1.9000
- crystal system = monoclinic
- energy of formation from the pure elements (eV per atom) = -0.28

Cell lengths 9.033, 5.206, 10.220 Å; angles 90.00, 90.24, 90.00 degrees
Space group C2/m (No. 12)
Asymmetric unit:
1 Na 0.000 0.000 0.000 [2 per cell]
2 Na 0.166 0.500 0.571 [4 per cell]
3 Sm 0.167 0.500 0.201 [4 per cell]
4 Hg 0.001 0.000 0.326 [4 per cell]
5 Hg 0.166 0.500 0.894 [4 per cell]



No. 2
A relaxed structure of NaSm2Hg6. Source: the Alexandria database, functional PBE-GGA.

Output
- spin magnetization (μB per cell) = 0.2
- energy above the lowest structure with this stoichiometry (kJ per mole of atoms) = 0.0
- electronic total energy (eV per atom) = -1.7330
- crystal system = hexagonal
- energy of formation from the pure elements (eV per atom) = -0.34

Cell lengths 8.7587, 8.7587, 3.3913 Å; angles 90.00, 90.00, 120.00 degrees
Space group P6/mmm (No. 191)
Asymmetric unit:
1 Na 0.0000 0.0000 0.0000 [1 per cell]
2 Sm 0.3333 0.6667 0.0000 [2 per cell]
3 Hg 0.0000 0.3313 0.5000 [6 per cell]



No. 3
A relaxed structure of Na2Sm3Hg7. Source: the Alexandria database, functional PBE-GGA.

Output
- spin magnetization (μB per cell) = 0.0
- electronic total energy (eV per atom) = -1.8043
- crystal system = orthorhombic
- energy of formation from the pure elements (eV per atom) = -0.23

Cell lengths 5.253, 23.446, 5.337 Å; angles 90.00, 90.00, 90.00 degrees
Space group Cmmm (No. 65)
Asymmetric unit:
1 Na 0.000 0.145 0.000 [4 per cell]
2 Sm 0.000 0.338 0.500 [4 per cell]
3 Sm 0.000 0.500 0.500 [2 per cell]
4 Hg 0.000 0.000 0.000 [2 per cell]
5 Hg 0.000 0.081 0.500 [4 per cell]
6 Hg 0.000 0.274 0.000 [4 per cell]
7 Hg 0.000 0.421 0.000 [4 per cell]



No. 4
A relaxed structure of NaSm2Hg4. Source: the Alexandria database, functional PBE-GGA.

Output
- spin magnetization (μB per cell) = 0.0
- electronic total energy (eV per atom) = -1.9763
- crystal system = trigonal
- energy of formation from the pure elements (eV per atom) = -0.27

Cell lengths 5.1533, 5.1533, 25.3775 Å; angles 90.00, 90.00, 120.00 degrees
Space group R-3m (No. 166, hexagonal axes)
Asymmetric unit:
1 Na 0.0000 0.0000 0.0000 [3 per cell]
2 Sm 0.0000 0.0000 0.2493 [6 per cell]
3 Hg 0.0000 0.0000 0.1266 [6 per cell]
4 Hg 0.0000 0.0000 0.3759 [6 per cell]



No. 5
A relaxed structure of NaSm2Hg6. Source: the Alexandria database, functional PBE-GGA.

Output
- spin magnetization (μB per cell) = 0.0
- energy above the lowest structure with this stoichiometry (kJ per mole of atoms) = 9.8
- electronic total energy (eV per atom) = -1.6316
- crystal system = monoclinic
- energy of formation from the pure elements (eV per atom) = -0.24

Cell lengths 11.952, 7.895, 4.898 Å; angles 90.00, 90.08, 90.00 degrees
Space group C2/m (No. 12)
Asymmetric unit:
1 Na 0.000 0.000 0.000 [2 per cell]
2 Sm 0.236 0.000 0.499 [4 per cell]
3 Hg 0.000 0.244 0.500 [4 per cell]
4 Hg 0.136 0.316 0.001 [8 per cell]



No. 6
A relaxed structure of Na2Sm5Hg12. Source: the Alexandria database, functional PBE-GGA.

Output
- spin magnetization (μB per cell) = 0.0
- electronic total energy (eV per atom) = -1.8268
- crystal system = monoclinic
- energy of formation from the pure elements (eV per atom) = -0.26

Cell lengths 14.434, 9.965, 9.283 Å; angles 90.00, 129.73, 90.00 degrees
Space group C2/m (No. 12)
Asymmetric unit:
1 Na 0.000 0.249 0.000 [4 per cell]
2 Sm 0.000 0.500 0.500 [2 per cell]
3 Sm 0.220 0.000 0.365 [4 per cell]
4 Sm 0.229 0.000 0.784 [4 per cell]
5 Hg 0.035 0.500 0.198 [4 per cell]
6 Hg 0.059 0.000 0.887 [4 per cell]
7 Hg 0.107 0.225 0.449 [8 per cell]
8 Hg 0.197 0.331 0.840 [8 per cell]



No. 7
A relaxed structure of NaSm2Hg. Source: the Alexandria database, functional PBE-GGA.

Output
- spin magnetization (μB per cell) = 3.3
- energy above the lowest structure with this stoichiometry (kJ per mole of atoms) = 1.2
- electronic total energy (eV per atom) = -2.8304
- crystal system = cubic
- energy of formation from the pure elements (eV per atom) = -0.07

Cell lengths 7.700, 7.700, 7.700 Å; angles 90.00, 90.00, 90.00 degrees
Space group Fm-3m (No. 225)
Asymmetric unit:
1 Na 0.000 0.000 0.000 [4 per cell]
2 Sm 0.250 0.250 0.250 [8 per cell]
3 Hg 0.000 0.000 0.500 [4 per cell]



No. 8
A relaxed structure of NaSm2Hg3. Source: the Alexandria database, functional PBE-GGA.

Output
- spin magnetization (μB per cell) = 0.0
- energy above the lowest structure with this stoichiometry (kJ per mole of atoms) = 0.0
- electronic total energy (eV per atom) = -2.3475
- crystal system = trigonal
- energy of formation from the pure elements (eV per atom) = -0.40

Cell lengths 5.2949, 5.2949, 12.9655 Å; angles 90.00, 90.00, 120.00 degrees
Space group P-3m1 (No. 164)
Asymmetric unit:
1 Na 0.3333 0.6667 0.1659 [2 per cell]
2 Sm 0.0000 0.0000 0.0000 [1 per cell]
3 Sm 0.0000 0.0000 0.5000 [1 per cell]
4 Sm 0.3333 0.6667 0.6769 [2 per cell]
5 Hg 0.0000 0.0000 0.2488 [2 per cell]
6 Hg 0.3333 0.6667 0.4174 [2 per cell]
7 Hg 0.3333 0.6667 0.9215 [2 per cell]



Question: The highest spin magnetization belongs to which entry?
Answer: NaSm2Hg



Question: spin magnetization of number 5 (NaSm2Hg6)?
Answer: 0.0 μB per cell



Question: Which value of electronic total energy does entry 4 give?
Answer: -1.9763 eV per atom